A plane-wave DFT calculation with PBE was carried out for a relaxed Cs3Ba crystal.

Its space-group type is Pm-3m (221). The value obtained for the formation enthalpy at 0 K is 153 meV/atom.

Cell lengths 7.2903, 7.2903, 7.2903 Å; angles 90.00, 90.00, 90.00 degrees
With the nearest neighbours (Å) after each atom.
Positions (direct):
Cs 0.0000 0.0000 0.5000  4 Ba 5.16, 8 Cs 5.16
Cs 0.0000 0.5000 0.0000  4 Ba 5.16, 8 Cs 5.16
Cs 0.5000 0.0000 0.0000  4 Ba 5.16, 8 Cs 5.16
Ba 0.5000 0.5000 0.5000  12 Cs 5.16

A plane-wave DFT calculation with PBE was carried out for a relaxed ScTiC crystal.

Its space-group type is P-62m (189). The value obtained for the formation enthalpy at 0 K is -141 meV/atom.

Cell lengths 6.2905, 6.2905, 3.4168 Å; angles 90.00, 90.00, 120.00 degrees
With the nearest neighbours (Å) after each atom.
Positions (direct):
Sc 0.0000 0.5888 0.0000  5 C 2.55-2.59, 6 Ti 2.73-2.83
Sc 0.4112 0.4112 0.0000  5 C 2.55-2.59, 6 Ti 2.73-2.83
Sc 0.5888 0.0000 0.0000  5 C 2.55-2.59, 6 Ti 2.73-2.83
Ti 0.0000 0.2511 0.5000  4 C 2.33-2.40
Ti 0.2511 0.0000 0.5000  4 C 2.33-2.40
Ti 0.7489 0.7489 0.5000  4 C 2.33-2.40
C 0.0000 0.0000 0.0000  6 Ti 2.33, 3 Sc 2.59
C 0.3333 0.6667 0.5000  3 Ti 2.40, 6 Sc 2.55
C 0.6667 0.3333 0.5000  3 Ti 2.40, 6 Sc 2.55

A plane-wave DFT calculation with PBE was carried out for a relaxed CaTlCo2 crystal.

Its space-group type is Imm2 (44). The value obtained for the formation enthalpy at 0 K is 286 meV/atom.

Cell lengths 5.4608, 5.4608, 5.4608 Å; angles 142.59, 127.99, 65.80 degrees
With the nearest neighbours (Å) after each atom.
Positions (direct):
Ca 0.0000 0.0000 0.0000  8 Co 3.00-3.22, 4 Tl 3.09-3.16
Tl 0.2875 0.7875 0.5000  8 Co 2.97-3.24, 4 Ca 3.09-3.16
Co 0.5495 0.5495 0.0000  2 Co 2.26
Co 0.7059 0.2059 0.5000  2 Co 2.26

A plane-wave DFT calculation with PBE was carried out for a relaxed Nd2BAsRh6 crystal.

Its space-group type is P4/mmm (123). The value obtained for the formation enthalpy at 0 K is -534 meV/atom.

Cell lengths 4.4785, 4.4785, 8.7816 Å; angles 90.00, 90.00, 90.00 degrees
With the nearest neighbours (Å) after each atom.
Positions (direct):
Nd 0.0000 0.0000 0.2366  12 Rh 3.05-3.22
Nd 0.0000 0.0000 0.7634  12 Rh 3.05-3.22
B 0.5000 0.5000 0.0000  6 Rh 2.02-2.24
As 0.5000 0.5000 0.5000  6 Rh 2.24-2.37
Rh 0.0000 0.5000 0.0000  2 B 2.24
Rh 0.0000 0.5000 0.5000  2 As 2.24
Rh 0.5000 0.0000 0.0000  2 B 2.24
Rh 0.5000 0.0000 0.5000  2 As 2.24
Rh 0.5000 0.5000 0.2299  1 B 2.02
Rh 0.5000 0.5000 0.7701  1 B 2.02

A plane-wave DFT calculation with PBE was carried out for a relaxed CsCSe crystal.

Its space-group type is P2/m (10).

Cell lengths 4.8187, 4.7858, 8.6040 Å; angles 90.00, 96.99, 90.00 degrees
With the nearest neighbours (Å) after each atom.
Positions (direct):
Cs 0.0000 0.0000 0.0000  8 C 3.38-3.52
Cs 0.0000 0.0000 0.5000  8 Se 3.87-3.88, 2 Cs 4.30
C 0.4945 0.5000 0.0719  1 C 1.24
C 0.5055 0.5000 0.9281  1 C 1.24
Se 0.4554 0.5000 0.2817  1 C 1.84
Se 0.5446 0.5000 0.7183  1 C 1.84

A plane-wave DFT calculation with PBE was carried out for a relaxed RbAc2IrO5 crystal.

Its space-group type is P4/mbm (127).

Cell lengths 7.2961, 7.2961, 5.9682 Å; angles 90.00, 90.00, 90.00 degrees
With the nearest neighbours (Å) after each atom.
Positions (direct):
Rb 0.0000 0.0000 0.0000  10 O 2.98-3.22
Rb 0.5000 0.5000 0.0000  10 O 2.98-3.22
Ac 0.1822 0.3178 0.5000  8 O 2.48-2.75
Ac 0.3178 0.8178 0.5000  8 O 2.48-2.75
Ac 0.6822 0.1822 0.5000  8 O 2.48-2.75
Ac 0.8178 0.6822 0.5000  8 O 2.48-2.75
Ir 0.0000 0.5000 0.0000  4 O 1.97
Ir 0.5000 0.0000 0.0000  4 O 1.97
O 0.0000 0.0000 0.5000  4 Ac 2.67, 2 Rb 2.98
O 0.1277 0.6277 0.2458  1 Ir 1.97
O 0.1277 0.6277 0.7542  1 Ir 1.97
O 0.3723 0.1277 0.2458  1 Ir 1.97
O 0.3723 0.1277 0.7542  1 Ir 1.97
O 0.5000 0.5000 0.5000  4 Ac 2.67, 2 Rb 2.98
O 0.6277 0.8723 0.2458  1 Ir 1.97
O 0.6277 0.8723 0.7542  1 Ir 1.97
O 0.8723 0.3723 0.2458  1 Ir 1.97
O 0.8723 0.3723 0.7542  1 Ir 1.97

A plane-wave DFT calculation with PBE was carried out for a relaxed CsNa2LiGe crystal.

Its space-group type is P4/mmm (123). The value obtained for the formation enthalpy at 0 K is -65 meV/atom.

Cell lengths 5.8221, 5.8221, 5.2845 Å; angles 90.00, 90.00, 90.00 degrees
With the nearest neighbours (Å) after each atom.
Positions (direct):
Cs 0.0000 0.0000 0.0000  8 Na 3.93, 4 Li 4.12
Na 0.0000 0.5000 0.5000  2 Ge 2.91
Na 0.5000 0.0000 0.5000  2 Ge 2.91
Li 0.5000 0.5000 0.0000  2 Ge 2.64
Ge 0.5000 0.5000 0.5000  2 Li 2.64, 4 Na 2.91

In g/cm³, the ρ values for the records above are, in order, 2.297, 4.461, 7.825, 9.349, 3.775, 8.485, 2.396.
In eV/atom, the DFT total energy values for the records above are, in order, -0.968, -7.958, -4.358, -7.032, -4.772, -7.002, -2.069.